{"formula": "BaIr2Os", "functional": "PBE", "state": "optimized geometry", "cell": [[4.2876, 0.0000, 0.0000], [0.0000, 2.8961, 0.0964], [0.0000, 1.1092, 6.8162]], "species": ["Ba", "Ir", "Ir", "Os"], "frac_coords": [[0.5000, 0.7927, 0.7633], [0.5000, 0.0552, 0.2838], [0.0000, 0.1504, 0.0647], [0.0000, 0.5017, 0.3882]], "vol_a3_per_atom": 21.0, "mass_density_g_cm3": 14.04, "polymorph_energy_ev_per_atom": 0.478}



{"formula": "LaSi2AgS", "functional": "PBE", "state": "optimized geometry", "cell": [[-3.8173, 2.1782, -1.8026], [-3.0772, -2.4523, 3.5530], [0.6260, 3.6045, 3.0300]], "species": ["La", "Si", "S", "Si", "Ag"], "frac_coords": [[0.0000, 0.5000, 0.0000], [0.0000, 0.0000, 0.5000], [0.0000, 0.0000, 0.0000], [0.5000, 0.0000, 0.0000], [0.5000, 0.5000, 0.5000]], "formation_energy_uncorrected_ev_per_atom": 0.126, "vol_a3_per_atom": 23.9, "mass_density_g_cm3": 4.65}



{"formula": "MgCo2Ir", "functional": "PBE", "state": "optimized geometry", "cell": [[4.4939, -0.0001, 0.0000], [1.3603, 4.2830, 0.0000], [-2.9271, -2.1415, 2.6535]], "species": ["Co", "Co", "Mg", "Ir"], "frac_coords": [[0.0000, 0.0000, 0.0000], [0.5000, 0.5000, 0.0000], [0.7500, 0.2500, 0.5000], [0.2500, 0.7500, 0.5000]], "vol_a3_per_atom": 12.8, "energy_ev_per_atom": -6.100, "mass_density_g_cm3": 10.87}